! Pr5Nd5Dy | the Alexandria database | PBE | relaxed; values from VASP
! * symmetry: No. 2
! * Fermi-level density of states: 17.3 states/eV/cell
! * energy above the lowest structure with this stoichiometry: 0 meV/atom
! * formation enthalpy at 0 K: 130 meV/atom
! * uncorrected energy: -4.63 eV per atom
&SYSTEM
  ibrav = 0, nat = 11, ntyp = 3
/
ATOMIC_SPECIES
Pr 140.91 Pr.upf
Nd 144.24 Nd.upf
Dy 162.50 Dy.upf
CELL_PARAMETERS angstrom
7.0955 0.0000 0.0000
2.3512 6.6979 0.0000
2.1485 1.4878 8.3813
ATOMIC_POSITIONS angstrom
Pr 0.0000 0.0000 0.0000
Pr 3.7815 5.1621 2.9988
Pr 4.2908 3.4673 6.1034
Pr 7.3044 4.7185 2.2779
Pr 7.8137 3.0237 5.3826
Nd 2.1783 1.9367 2.3175
Nd 5.9115 6.6821 5.3972
Nd 4.7234 3.3490 0.0000
Nd 5.6837 1.5036 2.9842
Nd 9.4169 6.2490 6.0638
Dy 3.5477 0.0000 0.0000